Entry 1:
DFT (GGA-PBE) results for crystalline Ba2CoCl at its relaxed geometry.

a = 4.005 Å, b = 4.039 Å, c = 16.509 Å
α = 90.00°, β = 90.00°, γ = 90.00°
Space group Imm2 (No. 44)
Unique sites:
1 Ba 0.000 0.000 0.000 [2 per cell]
2 Ba 0.000 0.500 0.227 [2 per cell]
3 Co 0.000 0.000 0.590 [2 per cell]
4 Cl 0.000 0.500 0.831 [2 per cell]

## Properties
DFT total energy (eV per atom): -3.707
Energy relative to the lowest polymorph listed for this composition (meV/atom): 65

---

Entry 2:
DFT (GGA-PBE) results for crystalline BaCo2Cl at its relaxed geometry.

a = 6.920 Å, b = 6.920 Å, c = 6.920 Å
α = 90.00°, β = 90.00°, γ = 90.00°
Space group Fm-3m (No. 225)
Unique sites:
1 Ba 0.000 0.000 0.000 [4 per cell]
2 Co 0.250 0.250 0.250 [8 per cell]
3 Cl 0.000 0.000 0.500 [4 per cell]

## Properties
DFT total energy (eV per atom): -3.571
Energy relative to the lowest polymorph listed for this composition (meV/atom): 1082

---

Entry 3:
DFT (GGA-PBE) results for crystalline BaCo2Cl at its relaxed geometry.

a = 3.675 Å, b = 6.113 Å, c = 4.914 Å
α = 90.00°, β = 90.44°, γ = 90.00°
Space group P2/m (No. 10)
Unique sites:
1 Ba 0.000 0.000 0.000 [1 per cell]
2 Co 0.251 0.500 0.129 [2 per cell]
3 Cl 0.500 0.000 0.500 [1 per cell]

## Properties
DFT total energy (eV per atom): -4.438
Energy relative to the lowest polymorph listed for this composition (meV/atom): 215

---

Entry 4:
DFT (GGA-PBE) results for crystalline BaCo2Cl at its relaxed geometry.

a = 4.871 Å, b = 4.871 Å, c = 14.302 Å
α = 90.00°, β = 90.00°, γ = 90.00°
Space group I4_1/amd (No. 141, origin choice 2)
Unique sites:
1 Ba 0.000 0.250 0.375 [4 per cell]
2 Co 0.000 0.000 0.000 [8 per cell]
3 Cl 0.000 0.250 0.875 [4 per cell]

## Properties
DFT total energy (eV per atom): -4.373
Energy relative to the lowest polymorph listed for this composition (meV/atom): 280

---

Entry 5:
DFT (GGA-PBE) results for crystalline BaCoCl2 at its relaxed geometry.

a = 3.866 Å, b = 3.866 Å, c = 6.718 Å
α = 90.00°, β = 90.00°, γ = 90.00°
Space group P4mm (No. 99)
Unique sites:
1 Ba 0.000 0.000 0.000 [1 per cell]
2 Co 0.500 0.500 0.611 [1 per cell]
3 Cl 0.000 0.000 0.565 [1 per cell]
4 Cl 0.500 0.500 0.241 [1 per cell]

## Properties
DFT total energy (eV per atom): -3.926
Energy relative to the lowest polymorph listed for this composition (meV/atom): 270

---

Entry 6:
DFT (GGA-PBE) results for crystalline BaCo2Cl at its relaxed geometry.

a = 3.698 Å, b = 6.013 Å, c = 8.384 Å
α = 90.00°, β = 90.00°, γ = 90.00°
Space group Imm2 (No. 44)
Unique sites:
1 Ba 0.000 0.000 0.000 [2 per cell]
2 Co 0.000 0.000 0.509 [2 per cell]
3 Co 0.000 0.500 0.161 [2 per cell]
4 Cl 0.000 0.500 0.815 [2 per cell]

## Properties
DFT total energy (eV per atom): -4.447
Energy relative to the lowest polymorph listed for this composition (meV/atom): 206

---

Entry 7:
DFT (GGA-PBE) results for crystalline BaCo2Cl at its relaxed geometry.

a = 3.744 Å, b = 4.336 Å, c = 12.268 Å
α = 90.00°, β = 90.00°, γ = 90.00°
Space group Immm (No. 71)
Unique sites:
1 Ba 0.000 0.000 0.000 [2 per cell]
2 Co 0.000 0.500 0.249 [4 per cell]
3 Cl 0.000 0.000 0.500 [2 per cell]

## Properties
DFT total energy (eV per atom): -4.225
Energy relative to the lowest polymorph listed for this composition (meV/atom): 428

---

Entry 8:
DFT (GGA-PBE) results for crystalline BaCo2Cl at its relaxed geometry.

a = 4.446 Å, b = 4.471 Å, c = 6.070 Å
α = 90.00°, β = 90.00°, γ = 90.00°
Space group Pmmm (No. 47)
Unique sites:
1 Ba 0.000 0.000 0.000 [1 per cell]
2 Co 0.500 0.500 0.171 [2 per cell]
3 Cl 0.000 0.000 0.500 [1 per cell]

## Properties
DFT total energy (eV per atom): -4.104
Energy relative to the lowest polymorph listed for this composition (meV/atom): 549

---

Entry 9:
DFT (GGA-PBE) results for crystalline BaCo2Cl at its relaxed geometry.

a = 4.0060 Å, b = 4.0060 Å, c = 7.0641 Å
α = 90.00°, β = 90.00°, γ = 120.00°
Space group P3m1 (No. 156)
Unique sites:
1 Ba 0.0000 0.0000 0.0000 [1 per cell]
2 Co 0.3333 0.6667 0.3683 [1 per cell]
3 Co 0.6667 0.3333 0.3158 [1 per cell]
4 Cl 0.3333 0.6667 0.7011 [1 per cell]

## Properties
DFT total energy (eV per atom): -4.653
Energy relative to the lowest polymorph listed for this composition (meV/atom): 0

---

Entry 10:
DFT (GGA-PBE) results for crystalline Ba2CoCl at its relaxed geometry.

a = 3.823 Å, b = 3.822 Å, c = 8.245 Å
α = 90.00°, β = 90.14°, γ = 90.00°
Space group P2/m (No. 10)
Unique sites:
1 Ba 0.001 0.000 0.275 [2 per cell]
2 Co 0.500 0.500 0.500 [1 per cell]
3 Cl 0.500 0.500 0.000 [1 per cell]

## Properties
DFT total energy (eV per atom): -3.745
Energy relative to the lowest polymorph listed for this composition (meV/atom): 28

---

Entry 11:
DFT (GGA-PBE) results for crystalline BaCoCl4 at its relaxed geometry.

a = 9.754 Å, b = 9.754 Å, c = 8.246 Å
α = 90.00°, β = 90.00°, γ = 90.00°
Space group I4_1/amd (No. 141, origin choice 2)
Unique sites:
1 Ba 0.000 0.250 0.375 [4 per cell]
2 Co 0.000 0.250 0.875 [4 per cell]
3 Cl 0.000 0.071 0.700 [16 per cell]

## Properties
DFT total energy (eV per atom): -4.279
Energy relative to the lowest polymorph listed for this composition (meV/atom): 0

---

Entry 12:
DFT (GGA-PBE) results for crystalline BaCo3Cl at its relaxed geometry.

a = 4.437 Å, b = 4.437 Å, c = 4.437 Å
α = 90.00°, β = 90.00°, γ = 90.00°
Space group Pm-3m (No. 221)
Unique sites:
1 Ba 0.000 0.000 0.000 [1 per cell]
2 Co 0.000 0.500 0.500 [3 per cell]
3 Cl 0.500 0.500 0.500 [1 per cell]

## Properties
DFT total energy (eV per atom): -4.248
Energy relative to the lowest polymorph listed for this composition (meV/atom): 0

---

> Number 2 is which compound?

BaCo2Cl

---

> Which of these has the highest energy relative to the lowest polymorph listed for this composition?

number 2

---

> Among the records above, which one has the highest DFT total energy?

number 2